VASP calculation (PBE) on a relaxed In2CuHg crystal.

The calculated total energy comes out at -0.0839 Ha/atom. The calculation puts the density of states at the Fermi level at 1.34 states/eV/cell. The value obtained for the formation enthalpy at 0 K is 0.1868 eV per atom. Its volume is 88.4 Å³/cell.

The structure belongs to space group Pmmm (No. 47); the cell edges are 4.2285, 4.3594 and 4.7962 Å and the angles 90.00°, 90.00° and 90.00°. Symmetry generates all atoms from In at (0.0000, 0.0000, 0.0000), In at (0.0000, 0.5000, 0.5000), Cu at (0.5000, 0.0000, 0.5000) and Hg at (0.5000, 0.5000, 0.0000).